[1]
Entry from Alexandria via LeMat-Bulk: a relaxed Al2RePbO8 crystal (PBE-GGA).

abc: 4.5864 4.5844 6.3387
angles: 90.00 90.00 89.60
Fractional positions:
1 O 0.2079 0.7915 0.7857
2 O 0.2972 0.2967 0.0000
3 O 0.7028 0.7033 0.0000
4 O 0.7921 0.2085 0.2143
5 O 0.2079 0.7915 0.2143
6 O 0.7921 0.2085 0.7857
7 Re 0.0000 0.0000 0.0000
8 Al 0.5000 0.5000 0.2510
9 O 0.6705 0.6712 0.5000
10 Al 0.5000 0.5000 0.7490
11 O 0.3295 0.3288 0.5000
12 Pb 0.0000 0.0000 0.5000

Values from the calculation:
**DFT total energy**: -7.167 eV per atom
**Fermi-level density of states**: 1.4 states/eV/f.u.
**Symmetry**: Cmmm (65)


[2]
Entry from Alexandria via LeMat-Bulk: a relaxed AlRuPbO6 crystal (PBE-GGA).

abc: 5.0963 5.0963 9.6150
angles: 90.00 90.00 120.00
Last column: magnetic moment on the atom in μB.
Fractional positions:
1 O 0.6251 0.6300 0.6403  0.05
2 Ru 0.6667 0.3333 0.7500  0.91
3 O 0.0048 0.3749 0.6403  0.05
4 O 0.6251 0.9952 0.8597  0.05
5 O 0.9952 0.3700 0.1403  0.05
6 O 0.3700 0.3749 0.8597  0.05
7 O 0.6300 0.6251 0.1403  0.05
8 O 0.0048 0.6300 0.8597  0.05
9 Ru 0.3333 0.6667 0.2500  0.91
10 O 0.9952 0.6251 0.3597  0.05
11 O 0.3700 0.9952 0.6403  0.05
12 O 0.6300 0.0048 0.3597  0.05
13 O 0.3749 0.3700 0.3597  0.05
14 Pb 0.0000 0.0000 0.5000  -0.01
15 Al 0.3333 0.6667 0.7500  0.01
16 Pb 0.0000 0.0000 0.0000  -0.01
17 Al 0.6667 0.3333 0.2500  0.01
18 O 0.3749 0.0048 0.1403  0.05

Values from the calculation:
**DFT total energy**: -6.598 eV per atom
**Fermi-level density of states**: 3.8 states/eV/f.u.
**Symmetry**: P-31c (163)


[3]
Entry from Alexandria via LeMat-Bulk: a relaxed Al2Sb2PbO7 crystal (PBE-GGA).

abc: 5.4440 5.4440 8.5127
angles: 71.35 71.35 60.00
Fractional positions:
1 Pb 0.5000 0.5000 0.5000
2 Sb 0.7216 0.7216 0.8351
3 O 0.8213 0.4309 0.7030
4 Al 0.9268 0.9268 0.2196
5 O 0.0000 0.0000 0.0000
6 Sb 0.2784 0.2784 0.1649
7 O 0.0448 0.8213 0.7030
8 O 0.1787 0.9552 0.2970
9 O 0.9552 0.5691 0.2970
10 Al 0.0732 0.0732 0.7804
11 O 0.4309 0.0448 0.7030
12 O 0.5691 0.1787 0.2970

Values from the calculation:
**DFT total energy**: -6.503 eV per atom
**Fermi-level density of states**: 0.0 states/eV/f.u.
**Symmetry**: R32 (155)